(1)
Here is a relaxed structure of Ca11GaSb9 from the Alexandria database. Energies are from PBEsol.

```
data_Ca11GaSb9
_chemical_formula_sum 'Ca44 Ga4 Sb36'
_cell_length_a 11.7055
_cell_length_b 12.2980
_cell_length_c 16.5985
_cell_angle_alpha 90.00
_cell_angle_beta 90.00
_cell_angle_gamma 90.00
_space_group_name_H-M_alt 'I b a 2'
_space_group_IT_number 45
loop_
_space_group_symop_operation_xyz
'x,y,z'
'-x,-y,z'
'-x,y,z+1/2'
'x,-y,z+1/2'
'x+1/2,y+1/2,z+1/2'
'-x+1/2,-y+1/2,z+1/2'
'-x+1/2,y+1/2,z'
'x+1/2,-y+1/2,z'
loop_
_atom_site_label
_atom_site_type_symbol
_atom_site_fract_x
_atom_site_fract_y
_atom_site_fract_z
Ca1 Ca 0.0000 0.0000 0.0190
Ca2 Ca 0.0702 0.2767 0.0000
Ca3 Ca 0.0890 0.2715 0.6820
Ca4 Ca 0.1604 0.1718 0.3399
Ca5 Ca 0.1835 0.4405 0.2125
Ca6 Ca 0.1838 0.4469 0.4691
Ga1 Ga 0.0000 0.0000 0.2328
Sb1 Sb 0.0000 0.5000 0.0923
Sb2 Sb 0.0358 0.3893 0.8383
Sb3 Sb 0.1290 0.1142 0.8440
Sb4 Sb 0.1482 0.1385 0.1509
Sb5 Sb 0.1789 0.1783 0.5235
```

Calculated values
**E_tot**: -4.2406 eV/atom
**ΔE_f (raw)**: -1.0111 eV/atom


(2)
Here is a relaxed structure of CaGa2Sb2 from the Alexandria database. Energies are from PBEsol.

```
data_CaGa2Sb2
_chemical_formula_sum 'Ca2 Ga4 Sb4'
_cell_length_a 5.2575
_cell_length_b 5.2575
_cell_length_c 8.9718
_cell_angle_alpha 90.00
_cell_angle_beta 90.00
_cell_angle_gamma 90.00
_space_group_name_H-M_alt 'I 4/m m m'
_space_group_IT_number 139
_space_group_name_Hall '-I 4 2'
loop_
_atom_site_label
_atom_site_type_symbol
_atom_site_fract_x
_atom_site_fract_y
_atom_site_fract_z
Ca1 Ca 0.0000 0.0000 0.0000
Ga1 Ga 0.0000 0.0000 0.3623
Sb1 Sb 0.0000 0.5000 0.2500
```

Calculated values
**E_tot**: -3.9137 eV/atom
**ΔE_f (raw)**: -0.3282 eV/atom


(3)
Here is a relaxed structure of CaGaSb3 from the Alexandria database. Energies are from PBEsol.

```
data_CaGaSb3
_chemical_formula_sum 'Ca1 Ga1 Sb3'
_cell_length_a 5.6109
_cell_length_b 5.6109
_cell_length_c 5.6109
_cell_angle_alpha 90.00
_cell_angle_beta 90.00
_cell_angle_gamma 90.00
_space_group_name_H-M_alt 'P m -3 m'
_space_group_IT_number 221
_space_group_name_Hall '-P 4 2 3'
loop_
_atom_site_label
_atom_site_type_symbol
_atom_site_fract_x
_atom_site_fract_y
_atom_site_fract_z
Ca1 Ca 0.0000 0.0000 0.0000
Ga1 Ga 0.5000 0.5000 0.5000
Sb1 Sb 0.0000 0.0000 0.5000
```

Calculated values
**E_tot**: -3.2122 eV/atom
**ΔE_f (raw)**: 0.6168 eV/atom


(4)
Here is a relaxed structure of Ca5Ga2Sb6 from the Alexandria database. Energies are from PBEsol.

```
data_Ca5Ga2Sb6
_chemical_formula_sum 'Ca10 Ga4 Sb12'
_cell_length_a 11.9518
_cell_length_b 13.8477
_cell_length_c 4.4275
_cell_angle_alpha 90.00
_cell_angle_beta 90.00
_cell_angle_gamma 90.00
_space_group_name_H-M_alt 'P b a m'
_space_group_IT_number 55
loop_
_space_group_symop_operation_xyz
'x,y,z'
'-x,-y,-z'
'-x,-y,z'
'x,y,-z'
'x+1/2,-y+1/2,-z'
'-x+1/2,y+1/2,z'
'-x+1/2,y+1/2,-z'
'x+1/2,-y+1/2,z'
loop_
_atom_site_label
_atom_site_type_symbol
_atom_site_fract_x
_atom_site_fract_y
_atom_site_fract_z
Ca1 Ca 0.0000 0.0000 0.0000
Ca2 Ca 0.0909 0.2467 0.0000
Ca3 Ca 0.1707 0.5188 0.0000
Ga1 Ga 0.1698 0.7124 0.5000
Sb1 Sb 0.0268 0.3994 0.5000
Sb2 Sb 0.1546 0.0907 0.5000
Sb3 Sb 0.1637 0.8242 0.0000
```

Calculated values
**E_tot**: -4.2136 eV/atom
**ΔE_f (raw)**: -0.7759 eV/atom


> E_tot of number 3 (CaGaSb3)?

-3.2122 eV/atom